Entry 1:
SrCrPt3 | the Alexandria database | PBE | optimized geometry; ΔE_f = 0.1 eV/f.u.; energy = -5.867 eV per atom; energy relative to the lowest polymorph listed for this composition = 0.000 eV per formula unit
1.0
4.730 0.000 0.000
0.000 4.730 0.000
0.000 0.000 4.730
Sr Cr Pt
1 1 3
Direct
0.000 0.000 0.000
0.500 0.500 0.500
0.000 0.500 0.500
0.500 0.000 0.500
0.500 0.500 0.000

Entry 2:
SrCrPt | the Alexandria database | PBE | optimized geometry; ΔE_f = -0.1 eV/f.u.; energy = -5.827 eV per atom; energy relative to the lowest polymorph listed for this composition = 0.426 eV per formula unit
1.0
4.509 0.000 0.000
0.000 4.509 0.000
0.000 0.000 6.779
Sr Cr Pt
2 2 2
Direct
0.250 0.250 0.152
0.750 0.750 0.848
0.250 0.750 0.500
0.750 0.250 0.500
0.250 0.250 0.647
0.750 0.750 0.353

Entry 3:
SrCrPt | the Alexandria database | PBE | optimized geometry; ΔE_f = 0.0 eV/f.u.; energy = -5.795 eV per atom; energy relative to the lowest polymorph listed for this composition = 0.522 eV per formula unit
1.0
8.578 0.000 0.000
0.000 7.275 0.000
-2.010 0.000 4.443
Sr Cr Pt
4 4 4
Direct
0.185 0.000 0.425
0.315 0.500 0.575
0.685 0.500 0.425
0.815 0.000 0.575
0.077 0.643 0.911
0.423 0.143 0.089
0.577 0.143 0.911
0.923 0.643 0.089
0.138 0.306 0.929
0.362 0.806 0.071
0.638 0.806 0.929
0.862 0.306 0.071

Entry 4:
Sr2CrPt | the Alexandria database | PBE | optimized geometry; ΔE_f = 0.0 eV/f.u.; energy = -4.748 eV per atom; energy relative to the lowest polymorph listed for this composition = 0.915 eV per formula unit
1.0
3.796 0.000 0.000
0.000 3.796 0.000
0.000 0.000 7.892
Sr Cr Pt
2 1 1
Direct
0.000 0.000 0.221
0.000 0.000 0.779
0.500 0.500 0.500
0.500 0.500 0.000

Entry 5:
SrCrPt | the Alexandria database | PBE | optimized geometry; ΔE_f = -0.4 eV/f.u.; energy = -5.908 eV per atom; energy relative to the lowest polymorph listed for this composition = 0.183 eV per formula unit
1.0
9.908 0.000 0.000
0.000 4.798 0.000
-1.485 0.000 6.139
Sr Cr Pt
4 4 4
Direct
0.000 0.000 0.000
0.226 0.500 0.372
0.500 0.500 0.000
0.726 0.000 0.372
0.273 0.000 0.783
0.467 0.000 0.624
0.773 0.500 0.783
0.967 0.500 0.624
0.039 0.000 0.518
0.379 0.000 0.199
0.539 0.500 0.518
0.879 0.500 0.199

Entry 6:
SrCrPt | the Alexandria database | PBE | optimized geometry; ΔE_f = -0.1 eV/f.u.; energy = -5.827 eV per atom; energy relative to the lowest polymorph listed for this composition = 0.428 eV per formula unit
1.0
0.000 7.538 3.242
2.833 0.000 3.242
2.833 7.538 0.000
Sr Cr Pt
2 2 2
Direct
0.173 0.827 0.173
0.827 0.173 0.827
0.082 0.423 0.918
0.423 0.082 0.577
0.460 0.652 0.348
0.652 0.460 0.540